Record 1
Compound: BaNa2Sr6Al6O2F32
Source: Alexandria
Functional: GGA-PBE
Structure: relaxed

For the total magnetic moment, the calculation gives 2.00 μB per formula unit. The uncorrected energy comes out at -5.69 eV per atom.

Unit cell a=7.332 b=9.927 c=9.927 alpha=68.21 beta=80.54 gamma=80.54
Positions (direct):
1 Ba 0.139 0.735 0.735
2 F 0.191 0.964 0.473
3 F 0.537 0.117 0.348
4 F 0.810 0.517 0.044
5 F 0.791 0.223 0.778
6 F 0.996 0.011 0.734
7 F 0.961 0.514 0.257
8 F 0.376 0.989 0.221
9 F 0.033 0.474 0.749
10 F 0.631 0.011 0.778
11 F 0.465 0.887 0.652
12 F 0.631 0.778 0.011
13 F 0.033 0.749 0.474
14 F 0.465 0.652 0.887
15 F 0.602 0.559 0.257
16 F 0.229 0.241 0.241
17 F 0.686 0.105 0.105
18 F 0.961 0.257 0.514
19 F 0.007 0.259 0.999
20 F 0.191 0.473 0.964
21 F 0.791 0.778 0.223
22 F 0.209 0.214 0.784
23 F 0.810 0.044 0.517
24 F 0.769 0.758 0.758
25 F 0.319 0.896 0.896
26 F 0.007 0.999 0.259
27 F 0.390 0.744 0.442
28 F 0.996 0.734 0.011
29 F 0.209 0.784 0.214
30 F 0.602 0.257 0.559
31 F 0.376 0.221 0.989
32 F 0.537 0.348 0.117
33 F 0.390 0.442 0.744
34 Na 0.994 0.501 0.501
35 Na 0.499 0.500 0.500
36 Al 0.454 0.169 0.169
37 Al 0.796 0.647 0.136
38 Al 0.550 0.832 0.832
39 Al 0.203 0.869 0.346
40 Al 0.796 0.136 0.647
41 Al 0.203 0.346 0.869
42 O 0.279 0.415 0.415
43 O 0.712 0.589 0.589
44 Sr 0.696 0.854 0.439
45 Sr 0.300 0.150 0.558
46 Sr 0.696 0.439 0.854
47 Sr 0.884 0.260 0.260
48 Sr 0.000 0.999 0.999
49 Sr 0.300 0.558 0.150

Record 2
Compound: Sr3LiRh
Source: Alexandria
Functional: GGA-PBE
Structure: relaxed

For the total magnetic moment, the calculation gives 0.00 μB per formula unit. The energy of formation is -0.1049 eV per atom. As for the polymorph energy (0 for the lowest one): 42 meV per atom.

Unit cell a=7.726 b=6.840 c=8.248 alpha=106.13 beta=58.73 gamma=103.44
Positions (direct):
1 Rh 0.237 0.141 0.366
2 Rh 0.997 0.225 0.208
3 Li 0.610 0.568 0.793
4 Li 0.397 0.304 0.067
5 Sr 0.647 0.458 0.342
6 Sr 0.162 0.228 0.780
7 Sr 0.639 0.938 0.144
8 Sr 0.117 0.603 0.478
9 Sr 0.174 0.822 0.048
10 Sr 0.767 0.066 0.581

Record 3
Compound: TbBeAlPt2
Source: Alexandria
Functional: GGA-PBE
Structure: relaxed

For the total magnetic moment, the calculation gives 0.00 μB per formula unit. The energy of formation is -0.9732 eV per atom.

Unit cell a=3.849 b=3.849 c=6.475 alpha=107.29 beta=107.29 gamma=90.00
Positions (direct):
1 Be 0.250 0.750 0.500
2 Al 0.750 0.250 0.500
3 Tb 0.000 0.000 0.000
4 Pt 0.619 0.619 0.238
5 Pt 0.381 0.381 0.762

Record 4
Compound: Dy5TeS4
Source: Alexandria
Functional: GGA-PBE
Structure: relaxed

For the total magnetic moment, the calculation gives 0.00 μB per formula unit. The uncorrected energy comes out at -6.08 eV per atom.

Unit cell a=3.971 b=6.962 c=8.937 alpha=75.23 beta=77.16 gamma=73.43
Positions (direct):
1 Dy 0.788 0.103 0.320
2 Dy 0.212 0.897 0.680
3 Dy 0.615 0.655 0.114
4 Dy 0.385 0.345 0.886
5 Dy 0.000 0.500 0.500
6 Te 0.000 0.000 0.000
7 S 0.206 0.380 0.208
8 S 0.407 0.792 0.393
9 S 0.794 0.620 0.792
10 S 0.593 0.208 0.607

Record 5
Compound: LaRu
Source: Alexandria
Functional: GGA-PBE
Structure: relaxed

For the total magnetic moment, the calculation gives 0.00 μB per formula unit. The energy of formation is 0.2374 eV per atom.

Unit cell a=3.398 b=3.398 c=8.848 alpha=90.00 beta=90.00 gamma=106.39
Positions (direct):
1 La 0.500 0.500 0.668
2 La 0.000 0.000 0.082
3 Ru 0.000 0.000 0.468
4 Ru 0.500 0.500 0.282

Record 6
Compound: VGaH
Source: Alexandria
Functional: GGA-PBE
Structure: relaxed

For the total magnetic moment, the calculation gives 0.00 μB per formula unit. As for the polymorph energy (0 for the lowest one): 129 meV per atom.

Unit cell a=2.633 b=2.633 c=5.070 alpha=105.05 beta=105.05 gamma=90.00
Positions (direct):
1 H 0.276 0.276 0.551
2 V 0.723 0.723 0.445
3 Ga 0.002 0.002 0.003

Record 7
Compound: Sr8CdGa2
Source: Alexandria
Functional: GGA-PBE
Structure: relaxed

For the total magnetic moment, the calculation gives 0.00 μB per formula unit. The energy of formation is -0.2053 eV per atom. As for the polymorph energy (0 for the lowest one): 0 meV per atom.

Unit cell a=5.659 b=8.051 c=10.582 alpha=108.03 beta=105.51 gamma=90.00
Positions (direct):
1 Sr 0.402 0.540 0.803
2 Sr 0.965 0.212 0.930
3 Sr 0.202 0.316 0.403
4 Sr 0.035 0.788 0.070
5 Sr 0.673 0.965 0.346
6 Sr 0.598 0.460 0.197
7 Sr 0.327 0.035 0.654
8 Sr 0.798 0.684 0.597
9 Ga 0.816 0.297 0.632
10 Ga 0.184 0.703 0.368
11 Cd 0.500 0.000 0.000

Record 8
Compound: TiIn2Br4Cl2
Source: Alexandria
Functional: GGA-PBE
Structure: relaxed

For the total magnetic moment, the calculation gives 0.00 μB per formula unit. The uncorrected energy comes out at -3.69 eV per atom.

Unit cell a=7.537 b=7.257 c=7.257 alpha=61.43 beta=59.31 gamma=59.31
Positions (direct):
1 In 0.743 0.243 0.243
2 In 0.257 0.757 0.757
3 Br 0.310 0.198 0.714
4 Br 0.690 0.286 0.802
5 Br 0.690 0.802 0.286
6 Br 0.310 0.714 0.198
7 Cl 0.798 0.776 0.776
8 Cl 0.202 0.224 0.224
9 Ti 0.500 0.000 0.000

Record 9
Compound: K2MgRuO6
Source: Alexandria
Functional: GGA-PBE
Structure: relaxed

For the total magnetic moment, the calculation gives 0.00 μB per formula unit. The uncorrected energy comes out at -5.50 eV per atom.

Unit cell a=5.216 b=6.022 c=6.022 alpha=120.00 beta=90.00 gamma=90.00
Positions (direct):
1 Mg 0.500 0.000 0.000
2 Ru 0.000 0.000 0.000
3 O 0.781 0.145 0.289
4 O 0.781 0.711 0.855
5 O 0.219 0.855 0.145
6 O 0.781 0.145 0.855
7 O 0.219 0.289 0.145
8 O 0.219 0.855 0.711
9 K 0.807 0.667 0.333
10 K 0.193 0.333 0.667

Record 10
Compound: NpZnInPt
Source: Alexandria
Functional: GGA-PBE
Structure: relaxed

For the total magnetic moment, the calculation gives 3.81 μB per formula unit. The energy of formation is -0.2596 eV per atom.

Unit cell a=4.843 b=4.843 c=4.843 alpha=60.00 beta=60.00 gamma=60.00
Positions (direct):
1 Np 0.750 0.750 0.750
2 In 0.250 0.250 0.250
3 Zn 0.500 0.500 0.500
4 Pt 0.000 0.000 0.000

Record 11
Compound: La3YEr2Te6
Source: Alexandria
Functional: GGA-PBE
Structure: relaxed

For the total magnetic moment, the calculation gives 0.00 μB per formula unit. The uncorrected energy comes out at -5.53 eV per atom.

Unit cell a=4.410 b=9.015 c=10.019 alpha=104.51 beta=102.71 gamma=90.00
Positions (direct):
1 Te 0.995 0.758 0.990
2 Te 0.329 0.429 0.657
3 Te 0.005 0.242 0.010
4 Te 0.664 0.095 0.328
5 Te 0.671 0.571 0.343
6 Te 0.336 0.905 0.672
7 Er 0.166 0.332 0.332
8 Er 0.834 0.668 0.668
9 Y 0.500 0.000 0.000
10 La 0.500 0.500 0.000
11 La 0.835 0.168 0.669
12 La 0.165 0.832 0.331

Record 12
Compound: ErZnInAu
Source: Alexandria
Functional: GGA-PBE
Structure: relaxed

For the total magnetic moment, the calculation gives 0.00 μB per formula unit. The energy of formation is -0.5034 eV per atom.

Unit cell a=4.883 b=4.883 c=4.883 alpha=60.00 beta=60.00 gamma=60.00
Positions (direct):
1 In 0.250 0.250 0.250
2 Er 0.750 0.750 0.750
3 Zn 0.000 0.000 0.000
4 Au 0.500 0.500 0.500